Material: CdRe2Sb
Method: DFT, PBE-GGA
State: relaxed

Calculated values
Formation energy from raw total energies = 350 kJ/mol of formula units
Spin magnetization = 0.00 μB/f.u.

Lattice parameters (Å, degrees): 4.0865 4.0865 10.2071 78.45 78.45 90.00
With the nearest neighbours (Å) after each atom.
Fractional coordinates of all 8 atoms:
Sb (0.7500, 0.2500, 0.5000)  4 Cd 2.89, 4 Re 2.97
Sb (0.0000, 0.0000, 0.0000)  4 Cd 2.89, 4 Re 2.97
Re (0.5466, 0.1250, 0.2500)  2 Re 2.48, 2 Cd 2.74
Re (0.3750, 0.4534, 0.7500)  2 Re 2.48, 2 Cd 2.74
Re (0.2034, 0.6250, 0.2500)  2 Re 2.48, 2 Cd 2.74
Re (0.8750, 0.7966, 0.7500)  2 Re 2.48, 2 Cd 2.74
Cd (0.5000, 0.5000, 0.0000)  4 Re 2.74, 4 Sb 2.89
Cd (0.2500, 0.7500, 0.5000)  4 Re 2.74, 4 Sb 2.89